(one)
# Mg2Ga2Bi

An optimized crystal structure of Mg2Ga2Bi (PBE-GGA, Alexandria via LeMat-Bulk).

The calculation puts the magnetization at 0.0 μB per formula unit.

The structure belongs to space group P4/mbm (No. 127); the cell edges are 8.286, 8.286 and 3.324 Å and the angles 90.00°, 90.00° and 90.00°. The inequivalent atoms are Mg at (0.130, 0.370, 0.000), Ga at (0.169, 0.669, 0.500) and Bi at (0.000, 0.000, 0.000).

(two)
# Mg2Ga2Bi

An optimized crystal structure of Mg2Ga2Bi (PBE-GGA, Alexandria via LeMat-Bulk).

The calculation puts the magnetization at 0.0 μB per formula unit.

The structure belongs to space group P4/mbm (No. 127); the cell edges are 8.419, 8.419 and 3.154 Å and the angles 90.00°, 90.00° and 90.00°. The inequivalent atoms are Mg at (0.181, 0.319, 0.000), Ga at (0.116, 0.616, 0.500) and Bi at (0.000, 0.000, 0.500).

(three)
# Mg2Ga2Bi

An optimized crystal structure of Mg2Ga2Bi (PBE-GGA, Alexandria via LeMat-Bulk).

The calculation puts the magnetization at 0.0 μB per formula unit.

The structure belongs to space group I4/mmm (No. 139); the cell edges are 4.416, 4.416 and 11.823 Å and the angles 90.00°, 90.00° and 90.00°. The inequivalent atoms are Mg at (0.000, 0.500, 0.250), Ga at (0.000, 0.000, 0.103) and Bi at (0.000, 0.000, 0.500).

Energy above the most stable structure, in eV/atom: (one) 0.052; (two) 0.000; (three) 0.060

(one)
# GaBiMo2

An optimized crystal structure of GaBiMo2 (PBE-GGA, Alexandria via LeMat-Bulk).

The calculation puts the magnetization at 0.0 μB per formula unit.

The structure belongs to space group I-42d (No. 122); the cell edges are 4.127, 4.127 and 19.257 Å and the angles 90.00°, 90.00° and 90.00°. The inequivalent atoms are Ga at (0.000, 0.000, 0.000), Bi at (0.000, 0.000, 0.500) and Mo at (0.177, 0.250, 0.125).

(two)
# GaBiMo2

An optimized crystal structure of GaBiMo2 (PBE-GGA, Alexandria via LeMat-Bulk).

The calculation puts the magnetization at 0.7 μB per formula unit.

The structure belongs to space group Fm-3m (No. 225); the cell edges are 6.584, 6.584 and 6.584 Å and the angles 90.00°, 90.00° and 90.00°. The inequivalent atoms are Ga at (0.000, 0.000, 0.000), Bi at (0.000, 0.000, 0.500) and Mo at (0.250, 0.250, 0.250).

Energy above the most stable structure, in eV/atom: (one) 0.050; (two) 0.000

(one)
# GaBiMo3

An optimized crystal structure of GaBiMo3 (PBE-GGA, Alexandria via LeMat-Bulk).

The calculation puts the magnetization at 0.0 μB per formula unit.

The structure belongs to space group Pm-3m (No. 221); the cell edges are 5.023, 5.023 and 5.023 Å and the angles 90.00°, 90.00° and 90.00°. The inequivalent atoms are Ga at (0.000, 0.000, 0.000), Bi at (0.500, 0.500, 0.500) and Mo at (0.000, 0.500, 0.500).

(two)
# GaBiMo3

An optimized crystal structure of GaBiMo3 (PBE-GGA, Alexandria via LeMat-Bulk).

The calculation puts the magnetization at 0.0 μB per formula unit.

The structure belongs to space group Pm-3m (No. 221); the cell edges are 4.685, 4.685 and 4.685 Å and the angles 90.00°, 90.00° and 90.00°. The inequivalent atoms are Ga at (0.000, 0.000, 0.000), Bi at (0.500, 0.500, 0.500) and Mo at (0.000, 0.000, 0.500).

Energy above the most stable structure, in eV/atom: (one) 1.021; (two) 0.000

(one)
# GaBiN2

An optimized crystal structure of GaBiN2 (PBE-GGA, Alexandria via LeMat-Bulk).

The calculation puts the magnetization at 0.0 μB per formula unit.

The structure belongs to space group P2_1/c (No. 14); the cell edges are 7.620, 6.534 and 5.821 Å and the angles 90.00°, 103.73° and 90.00°. The inequivalent atoms are Ga at (0.126, 0.139, 0.136), Bi at (0.306, 0.615, 0.188), N at (0.147, 0.625, 0.468) and N at (0.215, 0.147, 0.471).

(two)
# GaBiN2

An optimized crystal structure of GaBiN2 (PBE-GGA, Alexandria via LeMat-Bulk).

The calculation puts the magnetization at 0.0 μB per formula unit.

The structure belongs to space group Fm-3m (No. 225); the cell edges are 6.002, 6.002 and 6.002 Å and the angles 90.00°, 90.00° and 90.00°. The inequivalent atoms are Ga at (0.000, 0.000, 0.000), Bi at (0.000, 0.000, 0.500) and N at (0.250, 0.250, 0.250).

(three)
# GaBiN2

An optimized crystal structure of GaBiN2 (PBE-GGA, Alexandria via LeMat-Bulk).

The calculation puts the magnetization at 0.0 μB per formula unit.

The structure belongs to space group I-42d (No. 122); the cell edges are 5.170, 5.170 and 9.520 Å and the angles 90.00°, 90.00° and 90.00°. The inequivalent atoms are Ga at (0.000, 0.000, 0.000), Bi at (0.000, 0.000, 0.500) and N at (0.179, 0.250, 0.125).

Energy above the most stable structure, in eV/atom: (one) 0.000; (two) 1.080; (three) 0.143

(one)
# GaBiN2

An optimized crystal structure of GaBiN2 (PBE-GGA, Alexandria via LeMat-Bulk).

The calculation puts the magnetization at 0.0 μB per formula unit.

The structure belongs to space group R-3m (No. 166, hexagonal axes); the cell edges are 3.2817, 3.2817 and 19.0934 Å and the angles 90.00°, 90.00° and 120.00°. The inequivalent atoms are Ga at (0.0000, 0.0000, 0.0000), Bi at (0.0000, 0.0000, 0.5000) and N at (0.0000, 0.0000, 0.3837).

(two)
# GaBiN2

An optimized crystal structure of GaBiN2 (PBE-GGA, Alexandria via LeMat-Bulk).

The calculation puts the magnetization at 0.0 μB per formula unit.

The structure belongs to space group R-3m (No. 166, hexagonal axes); the cell edges are 3.7734, 3.7734 and 17.9728 Å and the angles 90.00°, 90.00° and 120.00°. The inequivalent atoms are Ga at (0.0000, 0.0000, 0.0000), Bi at (0.0000, 0.0000, 0.5000) and N at (0.0000, 0.0000, 0.0983).

Energy above the most stable structure, in eV/atom: (one) 0.110; (two) 0.000

(one)
# GaBi2N

An optimized crystal structure of GaBi2N (PBE-GGA, Alexandria via LeMat-Bulk).

The calculation puts the magnetization at 0.0 μB per formula unit.

The structure belongs to space group Fm-3m (No. 225); the cell edges are 6.949, 6.949 and 6.949 Å and the angles 90.00°, 90.00° and 90.00°. The inequivalent atoms are Ga at (0.000, 0.000, 0.000), Bi at (0.250, 0.250, 0.250) and N at (0.000, 0.000, 0.500).

(two)
# GaBi2N

An optimized crystal structure of GaBi2N (PBE-GGA, Alexandria via LeMat-Bulk).

The calculation puts the magnetization at 0.0 μB per formula unit.

The structure belongs to space group I-42d (No. 122); the cell edges are 5.792, 5.792 and 12.706 Å and the angles 90.00°, 90.00° and 90.00°. The inequivalent atoms are Ga at (0.000, 0.000, 0.000), Bi at (0.184, 0.250, 0.625) and N at (0.000, 0.000, 0.500).

Energy above the most stable structure, in eV/atom: (one) 0.408; (two) 0.000

(one)
# GaBiTe2N

An optimized crystal structure of GaBiTe2N (PBE-GGA, Alexandria via LeMat-Bulk).

The calculation puts the magnetization at 0.0 μB per formula unit.

The structure belongs to space group P4/mmm (No. 123); the cell edges are 5.866, 5.866 and 3.583 Å and the angles 90.00°, 90.00° and 90.00°. The inequivalent atoms are Ga at (0.000, 0.000, 0.000), Bi at (0.500, 0.500, 0.500), Te at (0.000, 0.500, 0.000) and N at (0.000, 0.000, 0.500).

(two)
# GaBiTe2N

An optimized crystal structure of GaBiTe2N (PBE-GGA, Alexandria via LeMat-Bulk).

The calculation puts the magnetization at 2.3 μB per formula unit.

The structure belongs to space group P4/mmm (No. 123); the cell edges are 6.052, 6.052 and 4.439 Å and the angles 90.00°, 90.00° and 90.00°. The inequivalent atoms are Ga at (0.000, 0.000, 0.000), Bi at (0.500, 0.500, 0.500), Te at (0.000, 0.500, 0.500) and N at (0.500, 0.500, 0.000).

Energy above the most stable structure, in eV/atom: (one) 0.000; (two) 0.419

(one)
# NaGa2Bi2

An optimized crystal structure of NaGa2Bi2 (PBE-GGA, Alexandria via LeMat-Bulk).

The calculation puts the magnetization at 0.0 μB per formula unit.

The structure belongs to space group I4/mmm (No. 139); the cell edges are 4.620, 4.620 and 14.417 Å and the angles 90.00°, 90.00° and 90.00°. The inequivalent atoms are Na at (0.000, 0.000, 0.000), Ga at (0.000, 0.500, 0.250) and Bi at (0.000, 0.000, 0.376).

(two)
# NaGa2Bi2

An optimized crystal structure of NaGa2Bi2 (PBE-GGA, Alexandria via LeMat-Bulk).

The calculation puts the magnetization at 0.0 μB per formula unit.

The structure belongs to space group I4/mmm (No. 139); the cell edges are 5.381, 5.381 and 9.898 Å and the angles 90.00°, 90.00° and 90.00°. The inequivalent atoms are Na at (0.000, 0.000, 0.000), Ga at (0.000, 0.000, 0.374) and Bi at (0.000, 0.500, 0.250).

Energy above the most stable structure, in eV/atom: (one) 0.000; (two) 0.012

(one)
# NaGa2Bi2

An optimized crystal structure of NaGa2Bi2 (PBE-GGA, Alexandria via LeMat-Bulk).

The calculation puts the magnetization at 0.0 μB per formula unit.

The structure belongs to space group P4/mbm (No. 127); the cell edges are 8.190, 8.190 and 3.976 Å and the angles 90.00°, 90.00° and 90.00°. The inequivalent atoms are Na at (0.000, 0.000, 0.000), Ga at (0.127, 0.373, 0.000) and Bi at (0.160, 0.660, 0.500).

(two)
# NaGa2Bi2

An optimized crystal structure of NaGa2Bi2 (PBE-GGA, Alexandria via LeMat-Bulk).

The calculation puts the magnetization at 0.0 μB per formula unit.

The structure belongs to space group P4/mbm (No. 127); the cell edges are 8.754, 8.754 and 3.645 Å and the angles 90.00°, 90.00° and 90.00°. The inequivalent atoms are Na at (0.000, 0.000, 0.000), Ga at (0.143, 0.357, 0.500) and Bi at (0.151, 0.651, 0.000).

(three)
# NaGa2Bi2

An optimized crystal structure of NaGa2Bi2 (PBE-GGA, Alexandria via LeMat-Bulk).

The calculation puts the magnetization at 0.0 μB per formula unit.

The structure belongs to space group C2/m (No. 12); the cell edges are 7.383, 6.117 and 7.004 Å and the angles 90.00°, 106.83° and 90.00°. The inequivalent atoms are Na at (0.000, 0.000, 0.000), Ga at (0.000, 0.240, 0.500) and Bi at (0.170, 0.500, 0.245).

Energy above the most stable structure, in eV/atom: (one) 0.036; (two) 0.066; (three) 0.000

(one)
# Na3Ga2Bi4

An optimized crystal structure of Na3Ga2Bi4 (PBE-GGA, Alexandria via LeMat-Bulk).

The calculation puts the magnetization at 0.0 μB per formula unit.

The structure belongs to space group C2/c (No. 15); the cell edges are 13.479, 11.565 and 7.303 Å and the angles 90.00°, 107.67° and 90.00°. The inequivalent atoms are Na at (0.000, 0.070, 0.250), Na at (0.102, 0.409, 0.960), Ga at (0.213, 0.089, 0.613), Bi at (0.102, 0.310, 0.444) and Bi at (0.156, 0.135, 0.945).

(two)
# Na3Ga2Bi4

An optimized crystal structure of Na3Ga2Bi4 (PBE-GGA, Alexandria via LeMat-Bulk).

The calculation puts the magnetization at 0.0 μB per formula unit.

The structure belongs to space group P-1 (No. 2); the cell edges are 4.574, 7.371 and 8.654 Å and the angles 110.01°, 105.07° and 90.15°. The inequivalent atoms are Na at (0.000, 0.000, 0.000), Na at (0.132, 0.619, 0.267), Ga at (0.338, 0.037, 0.678), Bi at (0.207, 0.219, 0.411) and Bi at (0.484, 0.688, 0.968).

Energy above the most stable structure, in eV/atom: (one) 0.046; (two) 0.000

(one)
# Na2Ga2Bi

An optimized crystal structure of Na2Ga2Bi (PBE-GGA, Alexandria via LeMat-Bulk).

The calculation puts the magnetization at 0.0 μB per formula unit.

The structure belongs to space group P4/mbm (No. 127); the cell edges are 8.449, 8.449 and 3.452 Å and the angles 90.00°, 90.00° and 90.00°. The inequivalent atoms are Na at (0.186, 0.314, 0.000), Ga at (0.111, 0.611, 0.500) and Bi at (0.000, 0.000, 0.500).

(two)
# Na2Ga2Bi

An optimized crystal structure of Na2Ga2Bi (PBE-GGA, Alexandria via LeMat-Bulk).

The calculation puts the magnetization at 0.0 μB per formula unit.

The structure belongs to space group I4/mmm (No. 139); the cell edges are 4.327, 4.327 and 13.700 Å and the angles 90.00°, 90.00° and 90.00°. The inequivalent atoms are Na at (0.000, 0.500, 0.250), Ga at (0.000, 0.000, 0.091) and Bi at (0.000, 0.000, 0.500).

Energy above the most stable structure, in eV/atom: (one) 0.000; (two) 0.044